Record 1
{"formula": "TcRh3W", "functional": "PBE", "state": "relaxed", "dft_energy_ev_per_atom": -7.595, "spacegroup": "Pm-3m, No. 221", "mass_density_g_cm3": 9.6, "vol_a3_per_cell": 102.3, "delta_e_f_kj_per_mol_atoms": 142.8, "dos_at_fermi_per_ev_atom": 0.9466, "cell": [[-1.0363, -3.8691, 2.4153], [-1.5782, -2.0197, -3.9125], [4.2794, -1.6818, -0.8580]], "species": ["Rh", "Rh", "Rh", "W", "Tc"], "frac_coords": [[0.0000, 0.0000, 0.5000], [0.0000, 0.5000, 0.0000], [0.5000, 0.0000, 0.0000], [0.0000, 0.0000, 0.0000], [0.5000, 0.5000, 0.5000]]}



Record 2
{"formula": "TcRh2W", "functional": "PBE", "state": "relaxed", "dft_energy_ev_per_atom": -9.361, "spacegroup": "F-43m, No. 216", "mass_density_g_cm3": 13.6, "vol_a3_per_cell": 59.7, "delta_e_f_kj_per_mol_atoms": 13.9, "dos_at_fermi_per_ev_atom": 1.1952, "cell": [[-2.2473, 0.8488, 3.6701], [-3.4809, -2.4510, 1.0566], [0.2168, -2.7696, 3.3945]], "species": ["Rh", "Rh", "W", "Tc"], "frac_coords": [[0.0000, 0.0000, 0.0000], [0.2500, 0.2500, 0.2500], [0.7500, 0.7500, 0.7500], [0.5000, 0.5000, 0.5000]]}



Copy entry 2 word for word.
{"formula": "TcRh2W", "functional": "PBE", "state": "relaxed", "dft_energy_ev_per_atom": -9.361, "spacegroup": "F-43m, No. 216", "mass_density_g_cm3": 13.6, "vol_a3_per_cell": 59.7, "delta_e_f_kj_per_mol_atoms": 13.9, "dos_at_fermi_per_ev_atom": 1.1952, "cell": [[-2.2473, 0.8488, 3.6701], [-3.4809, -2.4510, 1.0566], [0.2168, -2.7696, 3.3945]], "species": ["Rh", "Rh", "W", "Tc"], "frac_coords": [[0.0000, 0.0000, 0.0000], [0.2500, 0.2500, 0.2500], [0.7500, 0.7500, 0.7500], [0.5000, 0.5000, 0.5000]]}